PBE PmPrTmAl, optimized geometry; polymorph energy (0 for the lowest one) = 0.000 eV per formula unit; calculated total energy = -18.46 eV per cell; Fermi-level density of states = 3.65 states/eV per cell; formation energy from the elements = -0.18 eV/atom; space group = P4mm (99)
1.0
3.5474 0.0000 0.0000
0.0000 3.5474 0.0000
0.0000 0.0000 9.2687
Pm Pr Tm Al
1 1 1 1
Direct
0.0000 0.0000 0.0000
0.5000 0.5000 0.3036
0.0000 0.0000 0.5841
0.5000 0.5000 0.7831



PBE PmPrTmAl, optimized geometry; polymorph energy (0 for the lowest one) = 0.434 eV per formula unit; calculated total energy = -18.03 eV per cell; Fermi-level density of states = 6.62 states/eV per cell; formation energy from the elements = -0.07 eV/atom; space group = F-43m (216)
1.0
0.0000 3.8465 3.8465
3.8465 0.0000 3.8465
3.8465 3.8465 0.0000
Pm Pr Tm Al
1 1 1 1
Direct
0.0000 0.0000 0.0000
0.5000 0.5000 0.5000
0.7500 0.7500 0.7500
0.2500 0.2500 0.2500



PBE PmPrAl2Zn2, optimized geometry; calculated total energy = -22.11 eV per cell; Fermi-level density of states = 3.94 states/eV per cell; formation energy from the elements = -0.42 eV/atom; space group = P-3m1 (164)
1.0
4.5603 0.0000 0.0000
-2.2801 3.9493 0.0000
0.0000 0.0000 7.5800
Pm Pr Al Zn
1 1 2 2
Direct
0.0000 0.0000 0.0000
0.0000 0.0000 0.5000
0.3333 0.6667 0.2371
0.6667 0.3333 0.7629
0.3333 0.6667 0.7676
0.6667 0.3333 0.2324



PBE Pm2PrAl2Zn2, optimized geometry; calculated total energy = -26.46 eV per cell; Fermi-level density of states = 4.11 states/eV per cell; formation energy from the elements = -0.31 eV/atom; space group = R-3m (166)
1.0
2.2901 1.3222 9.4385
-2.2901 1.3222 9.4385
0.0000 -2.6444 9.4385
Pm Pr Al Zn
2 1 2 2
Direct
0.1290 0.1290 0.1290
0.8710 0.8710 0.8710
0.0000 0.0000 0.0000
0.2624 0.2624 0.2624
0.7376 0.7376 0.7376
0.4032 0.4032 0.4032
0.5968 0.5968 0.5968